1.
A relaxed structure of Sm6Tm5Mg, computed with PBE-GGA.

For the formation energy, the calculation gives 0.024 eV per atom. As for the total energy: -4.331 eV per atom. The calculation puts the total magnetization at 0.000 μB/atom.

The space group is C2/m (No. 12) and the conventional cell measures 11.6721, 10.6606 and 6.1407 Å, with angles of 90.00, 100.48 and 90.00 degrees. The inequivalent atoms are Sm at (0.2482, 0.0000, 0.2499), Sm at (0.2478, 0.3330, 0.2532), Tm at (0.0000, 0.0000, 0.5000), Tm at (0.0000, 0.1656, 0.0000), Tm at (0.0000, 0.3339, 0.5000) and Mg at (0.0000, 0.5000, 0.0000).

2.
A relaxed structure of Sm3Tm2Mg, computed with PBE-GGA.

For the formation energy, the calculation gives 0.022 eV per atom. As for the total energy: -4.094 eV per atom. The value obtained for the energy relative to the lowest polymorph listed for this composition is 0.033 eV/atom. The calculation puts the total magnetization at 0.000 μB/atom.

The space group is C2/c (No. 15) and the conventional cell measures 17.2891, 7.0048 and 6.1375 Å, with angles of 90.00, 90.60 and 90.00 degrees. The inequivalent atoms are Sm at (0.0000, 0.1320, 0.2500), Sm at (0.1680, 0.3745, 0.0810), Tm at (0.1667, 0.1230, 0.5852) and Mg at (0.0000, 0.3682, 0.7500).

3.
A relaxed structure of SmTm3Mg8, computed with PBE-GGA.

For the formation energy, the calculation gives -0.060 eV per atom. As for the total energy: -2.634 eV per atom. The calculation puts the total magnetization at 0.000 μB/atom.

The space group is P3m1 (No. 156) and the conventional cell measures 6.0463, 6.0463 and 9.7423 Å, with angles of 90.00, 90.00 and 120.00 degrees. The inequivalent atoms are Sm at (0.0000, 0.0000, 0.0000), Tm at (0.0000, 0.0000, 0.3733), Tm at (0.6667, 0.3333, 0.4964), Tm at (0.6667, 0.3333, 0.8668), Mg at (0.1628, 0.3256, 0.6831), Mg at (0.3333, 0.6667, 0.4347), Mg at (0.3333, 0.6667, 0.9342) and Mg at (0.5044, 0.0087, 0.1858).

4.
A relaxed structure of Sm7Tm2Mg2, computed with PBE-GGA.

For the formation energy, the calculation gives 0.070 eV per atom. As for the total energy: -4.036 eV per atom. The value obtained for the energy relative to the lowest polymorph listed for this composition is 0.000 eV/atom. The calculation puts the total magnetization at 0.000 μB/atom.

The space group is C2/m (No. 12) and the conventional cell measures 8.9574, 9.6078 and 8.4812 Å, with angles of 90.00, 106.83 and 90.00 degrees. The inequivalent atoms are Sm at (0.0000, 0.0000, 0.0000), Sm at (0.1445, 0.0000, 0.4187), Sm at (0.2070, 0.3189, 0.1836), Tm at (0.0000, 0.3233, 0.5000) and Mg at (0.1143, 0.5000, 0.8357).